Material: Ag2RhAu8
Method: DFT, PBE
State: relaxed

Calculated formation energy = 0.35 eV/f.u.
Theoretical density = 16.2 g/cm3

Cell lengths 4.1442, 6.4809, 7.7531 Å; angles 104.45, 105.50, 90.00 degrees
Closest atoms and distances in Å follow each position.
Element x y z (fractional)
Au 0.9566 0.2657 0.9132  2 Ag 2.86-2.88, 2 Rh 2.87, 8 Au 2.90-2.98
Au 0.4105 0.5517 0.8209  1 Rh 2.87, 9 Au 2.90-2.98, 2 Ag 2.90
Au 0.5895 0.4483 0.1791  1 Rh 2.87, 9 Au 2.90-2.98, 2 Ag 2.90
Au 0.3211 0.0920 0.6423  1 Rh 2.88, 3 Ag 2.90-2.96, 8 Au 2.91-2.99
Au 0.6789 0.9080 0.3577  1 Rh 2.88, 3 Ag 2.90-2.96, 8 Au 2.91-2.99
Au 0.0434 0.7343 0.0868  2 Ag 2.86-2.88, 2 Rh 2.87, 8 Au 2.90-2.98
Au 0.7731 0.3630 0.5462  9 Au 2.92-2.97, 3 Ag 2.92-2.94
Au 0.2269 0.6370 0.4538  9 Au 2.92-2.97, 3 Ag 2.92-2.94
Ag 0.1362 0.1798 0.2724  10 Au 2.86-2.96, 2 Rh 2.93
Ag 0.8638 0.8202 0.7276  10 Au 2.86-2.96, 2 Rh 2.93
Rh 0.5000 0.0000 0.0000  8 Au 2.87-2.88, 4 Ag 2.93